Record 1
The following is a PBEsol calculation of a relaxed structure of Li8TbO6, from Alexandria.

Its total energy is -247.67 eV for the cell shown. The calculation puts the magnetic moment at 1.1 μB per formula unit.

a b c (Å): 5.5556 5.5556 15.9465
angles (deg): 90.00 90.00 120.00
Closest atoms and distances in Å follow each position.
Space group R-3 (No. 148, hexagonal axes)
Asymmetric unit:
Li: 0.0000 0.0000 0.1469 [6 per cell]  3 O 2.10
Li: 0.0158 0.7035 0.7105 [18 per cell]  4 O 1.88-2.00
Tb: 0.0000 0.0000 0.5000 [3 per cell]  6 O 2.25
O: 0.0038 0.6503 0.2524 [18 per cell]  5 Li 1.88-2.10

***

Record 2
The following is a PBEsol calculation of a relaxed structure of Co2AuCl, from Alexandria.

Its total energy is -74.54 eV for the cell shown. The calculation puts the magnetic moment at 4.0 μB per formula unit. The excess energy over the best structure of this formula in the dataset is 409 meV per atom.

a b c (Å): 5.3080 5.3080 10.5102
angles (deg): 90.00 90.00 90.00
Closest atoms and distances in Å follow each position.
Space group I-42d (No. 122)
Asymmetric unit:
Co: 0.2037 0.2500 0.1250 [8 per cell]  2 Cl 2.16
Au: 0.0000 0.0000 0.5000 [4 per cell]  4 Co 2.44
Cl: 0.0000 0.0000 0.0000 [4 per cell]  4 Co 2.16

***

> magnetic moment of number 1 (Li8TbO6)?

1.1 μB per formula unit

***

> The lowest magnetic moment belongs to which entry?

Li8TbO6

***

> Which formula does entry 2 have?

Co2AuCl

***

> The highest magnetic moment belongs to which entry?

Co2AuCl